1.
First-principles (PBE-GGA) data for Cs2TiMoCl6 after structural relaxation, as listed in Alexandria via LeMat-Bulk.

For the formation energy (no corrections), the calculation gives -1263.0 meV/atom. Its total energy is -4.41 eV/atom. The total magnetization comes out at 6.0 μB/f.u.

Structure (CIF):
```
data_Cs2TiMoCl6
_chemical_formula_sum 'Cs2 Ti1 Mo1 Cl6'
_symmetry_space_group_name_H-M 'P 1'
_symmetry_Int_Tables_number 1
_cell_length_a 7.399
_cell_length_b 7.399
_cell_length_c 7.369
_cell_angle_alpha 59.87
_cell_angle_beta 59.87
_cell_angle_gamma 90.00
loop_
_symmetry_equiv_pos_as_xyz
'x,y,z'
loop_
_atom_site_label
_atom_site_fract_x
_atom_site_fract_y
_atom_site_fract_z
Cl1 0.259 0.741 0.000
Cl2 0.251 0.251 0.498
Cl3 0.259 0.259 0.000
Cl4 0.749 0.749 0.502
Cl5 0.741 0.259 0.000
Cl6 0.741 0.741 0.000
Ti1 0.500 0.500 0.000
Mo1 0.000 0.000 0.000
Cs1 0.250 0.750 0.500
Cs2 0.750 0.250 0.500
```

2.
First-principles (PBE-GGA) data for Li2PmLu after structural relaxation, as listed in Alexandria via LeMat-Bulk.

As for the formation energy: 1.194 eV/f.u. The polymorph energy (0 for the lowest one) comes out at 144 meV/atom. Its total energy is -2.98 eV/atom. The total magnetization comes out at 0.0 μB/f.u.

Structure (CIF):
```
data_Li2PmLu
_chemical_formula_sum 'Li2 Pm1 Lu1'
_symmetry_space_group_name_H-M 'P 1'
_symmetry_Int_Tables_number 1
_cell_length_a 3.321
_cell_length_b 3.321
_cell_length_c 11.969
_cell_angle_alpha 82.02
_cell_angle_beta 82.02
_cell_angle_gamma 60.00
loop_
_symmetry_equiv_pos_as_xyz
'x,y,z'
loop_
_atom_site_label
_atom_site_fract_x
_atom_site_fract_y
_atom_site_fract_z
Li1 0.087 0.087 0.739
Li2 0.913 0.913 0.261
Pm1 0.500 0.500 0.500
Lu1 0.000 0.000 0.000
```

3.
First-principles (PBE-GGA) data for AcEuZnPd after structural relaxation, as listed in Alexandria via LeMat-Bulk.

As for the formation energy: -1.845 eV/f.u. Its total energy is -5.67 eV/atom. The total magnetization comes out at 7.0 μB/f.u.

Structure (CIF):
```
data_AcEuZnPd
_chemical_formula_sum 'Ac1 Eu1 Zn1 Pd1'
_symmetry_space_group_name_H-M 'P 1'
_symmetry_Int_Tables_number 1
_cell_length_a 5.342
_cell_length_b 5.342
_cell_length_c 5.342
_cell_angle_alpha 60.00
_cell_angle_beta 60.00
_cell_angle_gamma 60.00
loop_
_symmetry_equiv_pos_as_xyz
'x,y,z'
loop_
_atom_site_label
_atom_site_fract_x
_atom_site_fract_y
_atom_site_fract_z
Eu1 0.750 0.750 0.750
Zn1 0.000 0.000 0.000
Pd1 0.500 0.500 0.500
Ac1 0.250 0.250 0.250
```

Number 1: Fermi-level density of states 16.28 states/eV/f.u.. Number 2: Fermi-level density of states 4.25 states/eV/f.u.. Number 3: Fermi-level density of states 9.54 states/eV/f.u..